Record 1
The following is a PBEsol calculation of YMgBe2 after structural relaxation, from the Alexandria database.

As for the volume: 69 Å³/f.u. For the spin magnetization, the calculation gives 0.00 μB per cell. For the density, the calculation gives 3.1 Mg/m³. The calculation puts the total DFT energy (no corrections) at -15.6 eV per cell. The calculation puts the energy of formation from the pure elements at 0.24 eV/atom.

The structure belongs to space group P4/mmm (No. 123); the cell edges are 4.5499, 4.5499 and 3.3549 Å and the angles 90.00°, 90.00° and 90.00°. Symmetry generates all atoms from Y at (0.0000, 0.0000, 0.0000), Mg at (0.5000, 0.5000, 0.0000) and Be at (0.0000, 0.5000, 0.5000).

Record 2
The following is a PBEsol calculation of YMgBe after structural relaxation, from the Alexandria database.

Its distance to the lowest polymorph of the same formula is 216 kJ/mol of formula units. As for the volume: 75 Å³/f.u. For the spin magnetization, the calculation gives 0.00 μB per cell. For the density, the calculation gives 2.7 Mg/m³. The calculation puts the total DFT energy (no corrections) at -39.5 eV per cell. The calculation puts the energy of formation from the pure elements at 0.89 eV/atom.

The structure belongs to space group F-43m (No. 216); the cell edges are 6.6839, 6.6839 and 6.6839 Å and the angles 90.00°, 90.00° and 90.00°. Symmetry generates all atoms from Y at (0.0000, 0.0000, 0.0000), Mg at (0.2500, 0.2500, 0.7500) and Be at (0.2500, 0.2500, 0.2500).

Record 3
The following is a PBEsol calculation of YMgBe after structural relaxation, from the Alexandria database.

Its distance to the lowest polymorph of the same formula is 0 kJ/mol of formula units. As for the volume: 61 Å³/f.u. For the spin magnetization, the calculation gives 0.00 μB per cell. For the density, the calculation gives 3.4 Mg/m³. The calculation puts the total DFT energy (no corrections) at -24.2 eV per cell. The calculation puts the energy of formation from the pure elements at 0.14 eV/atom.

The structure belongs to space group I4mm (No. 107); the cell edges are 3.2031, 3.2031 and 11.7957 Å and the angles 90.00°, 90.00° and 90.00°. Symmetry generates all atoms from Y at (0.0000, 0.0000, 0.0000), Mg at (0.0000, 0.0000, 0.7181) and Be at (0.0000, 0.0000, 0.3485).

Record 4
The following is a PBEsol calculation of Mg2BeZn after structural relaxation, from the Alexandria database.

As for the volume: 74 Å³/f.u. For the spin magnetization, the calculation gives 0.00 μB per cell. For the density, the calculation gives 2.8 Mg/m³. The calculation puts the total DFT energy (no corrections) at -27.8 eV per cell. The calculation puts the energy of formation from the pure elements at 0.52 eV/atom.

The structure belongs to space group I-42d (No. 122); the cell edges are 4.0159, 4.0159 and 18.2477 Å and the angles 90.00°, 90.00° and 90.00°. Symmetry generates all atoms from Mg at (0.2428, 0.2500, 0.1250), Be at (0.0000, 0.0000, 0.0000) and Zn at (0.0000, 0.0000, 0.5000).

Record 5
The following is a PBEsol calculation of MgZr2Be2 after structural relaxation, from the Alexandria database.

As for the volume: 83 Å³/f.u. For the spin magnetization, the calculation gives 0.00 μB per cell. For the density, the calculation gives 4.5 Mg/m³. The calculation puts the total DFT energy (no corrections) at -56.2 eV per cell. The calculation puts the energy of formation from the pure elements at -0.04 eV/atom.

The structure belongs to space group P4/mbm (No. 127); the cell edges are 6.6334, 6.6334 and 3.7624 Å and the angles 90.00°, 90.00° and 90.00°. Symmetry generates all atoms from Mg at (0.0000, 0.0000, 0.0000), Zr at (0.1690, 0.3310, 0.5000) and Be at (0.1183, 0.6183, 0.0000).

Record 6
The following is a PBEsol calculation of MgZr2Be after structural relaxation, from the Alexandria database.

Its distance to the lowest polymorph of the same formula is 0 kJ/mol of formula units. As for the volume: 75 Å³/f.u. For the spin magnetization, the calculation gives 0.00 μB per cell. For the density, the calculation gives 4.8 Mg/m³. The calculation puts the total DFT energy (no corrections) at -23.9 eV per cell. The calculation puts the energy of formation from the pure elements at 0.00 eV/atom.

The structure belongs to space group P4/mmm (No. 123); the cell edges are 2.9517, 2.9517 and 8.5598 Å and the angles 90.00°, 90.00° and 90.00°. Symmetry generates all atoms from Mg at (0.0000, 0.0000, 0.0000), Zr at (0.5000, 0.5000, 0.3025) and Be at (0.0000, 0.0000, 0.5000).

Record 7
The following is a PBEsol calculation of MgZr2Be after structural relaxation, from the Alexandria database.

Its distance to the lowest polymorph of the same formula is 44 kJ/mol of formula units. As for the volume: 73 Å³/f.u. For the spin magnetization, the calculation gives 0.00 μB per cell. For the density, the calculation gives 4.9 Mg/m³. The calculation puts the total DFT energy (no corrections) at -93.7 eV per cell. The calculation puts the energy of formation from the pure elements at 0.12 eV/atom.

The structure belongs to space group Fm-3m (No. 225); the cell edges are 6.6197, 6.6197 and 6.6197 Å and the angles 90.00°, 90.00° and 90.00°. Symmetry generates all atoms from Mg at (0.0000, 0.0000, 0.0000), Zr at (0.2500, 0.2500, 0.2500) and Be at (0.0000, 0.0000, 0.5000).

Record 8
The following is a PBEsol calculation of MgZr2Be after structural relaxation, from the Alexandria database.

Its distance to the lowest polymorph of the same formula is 42 kJ/mol of formula units. As for the volume: 73 Å³/f.u. For the spin magnetization, the calculation gives 0.00 μB per cell. For the density, the calculation gives 4.9 Mg/m³. The calculation puts the total DFT energy (no corrections) at -46.9 eV per cell. The calculation puts the energy of formation from the pure elements at 0.11 eV/atom.

The structure belongs to space group Imm2 (No. 44); the cell edges are 3.1187, 4.9101 and 9.5766 Å and the angles 90.00°, 90.00° and 90.00°. Symmetry generates all atoms from Mg at (0.0000, 0.0000, 0.0000), Zr at (0.0000, 0.0000, 0.4361), Zr at (0.0000, 0.5000, 0.2117) and Be at (0.0000, 0.5000, 0.7069).

Record 9
The following is a PBEsol calculation of Mn3Be after structural relaxation, from the Alexandria database.

As for the volume: 39 Å³/f.u. For the spin magnetization, the calculation gives 1.72 μB per cell. For the density, the calculation gives 7.4 Mg/m³. The calculation puts the total DFT energy (no corrections) at -33.3 eV per cell. The calculation puts the energy of formation from the pure elements at 0.01 eV/atom.

The structure belongs to space group P4/mmm (No. 123); the cell edges are 2.7042, 2.7042 and 5.3027 Å and the angles 90.00°, 90.00° and 90.00°. Symmetry generates all atoms from Mn at (0.0000, 0.0000, 0.0000), Mn at (0.5000, 0.5000, 0.2668) and Be at (0.0000, 0.0000, 0.5000).

Record 10
The following is a PBEsol calculation of Mn5Be24 after structural relaxation, from the Alexandria database.

As for the volume: 237 Å³/f.u. For the spin magnetization, the calculation gives 8.26 μB per cell. For the density, the calculation gives 3.4 Mg/m³. The calculation puts the total DFT energy (no corrections) at -296.3 eV per cell. The calculation puts the energy of formation from the pure elements at -0.12 eV/atom.

The structure belongs to space group I-43m (No. 217); the cell edges are 7.7964, 7.7964 and 7.7964 Å and the angles 90.00°, 90.00° and 90.00°. Symmetry generates all atoms from Mn at (0.0000, 0.0000, 0.0000), Mn at (0.1860, 0.1860, 0.1860), Be at (0.0380, 0.3518, 0.6482) and Be at (0.0914, 0.0914, 0.7205).

Record 11
The following is a PBEsol calculation of MnBe2 after structural relaxation, from the Alexandria database.

As for the volume: 27 Å³/f.u. For the spin magnetization, the calculation gives 0.00 μB per cell. For the density, the calculation gives 4.6 Mg/m³. The calculation puts the total DFT energy (no corrections) at -70.9 eV per cell. The calculation puts the energy of formation from the pure elements at 0.01 eV/atom.

The structure belongs to space group Cm (No. 8); the cell edges are 8.5648, 2.2762 and 5.5913 Å and the angles 90.00°, 103.33° and 90.00°. Symmetry generates all atoms from Mn at (0.0000, 0.0000, 0.0000), Mn at (0.1695, 0.5000, 0.3515), Be at (0.0601, 0.0000, 0.6322), Be at (0.2323, 0.5000, 0.9591), Be at (0.3345, 0.0000, 0.6742) and Be at (0.3930, 0.0000, 0.2965).

Record 12
The following is a PBEsol calculation of Mn5Be after structural relaxation, from the Alexandria database.

As for the volume: 59 Å³/f.u. For the spin magnetization, the calculation gives 0.00 μB per cell. For the density, the calculation gives 8.0 Mg/m³. The calculation puts the total DFT energy (no corrections) at -105.7 eV per cell. The calculation puts the energy of formation from the pure elements at -0.01 eV/atom.

The structure belongs to space group C2/m (No. 12); the cell edges are 8.4421, 2.7089 and 5.4797 Å and the angles 90.00°, 109.71° and 90.00°. Symmetry generates all atoms from Mn at (0.0000, 0.0000, 0.0000), Mn at (0.1647, 0.5000, 0.3430), Mn at (0.1707, 0.5000, 0.8282) and Be at (0.0000, 0.0000, 0.5000).